No. 1
Compound: Mn2ReRu
Source: Alexandria via LeMat-Bulk
Functional: PBE
Structure: optimized geometry

Energy of formation from the pure elements (eV per atom): 0.017
SG: I-4m2 (119)

```
data_Mn2ReRu
_chemical_formula_sum 'Mn2 Re1 Ru1'
_cell_length_a 4.597
_cell_length_b 4.597
_cell_length_c 4.597
_cell_angle_alpha 131.83
_cell_angle_beta 131.83
_cell_angle_gamma 70.49
_symmetry_space_group_name_H-M 'P 1'
_symmetry_Int_Tables_number 1
_symmetry_space_group_name_Hall 'P 1'
loop_
_atom_site_label
_atom_site_type_symbol
_atom_site_fract_x
_atom_site_fract_y
_atom_site_fract_z
Mn1 Mn 0.000 0.000 0.000
Mn2 Mn 0.250 0.750 0.500
Re1 Re 0.500 0.500 0.000
Ru1 Ru 0.750 0.250 0.500
```

***

No. 2
Compound: HgIBrO4
Source: Alexandria via LeMat-Bulk
Functional: PBE
Structure: optimized geometry

E_form (uncorrected) (eV per formula unit): -0.65
SG: C2/m (12)

```
data_HgIBrO4
_chemical_formula_sum 'Hg2 I2 Br2 O8'
_cell_length_a 6.710
_cell_length_b 6.710
_cell_length_c 7.926
_cell_angle_alpha 83.85
_cell_angle_beta 83.85
_cell_angle_gamma 77.59
_symmetry_space_group_name_H-M 'P 1'
_symmetry_Int_Tables_number 1
_symmetry_space_group_name_Hall 'P 1'
loop_
_atom_site_label
_atom_site_type_symbol
_atom_site_fract_x
_atom_site_fract_y
_atom_site_fract_z
Hg1 Hg 0.182 0.182 0.960
Hg2 Hg 0.818 0.818 0.040
I1 I 0.623 0.623 0.760
I2 I 0.377 0.377 0.240
Br1 Br 0.968 0.968 0.260
Br2 Br 0.032 0.032 0.740
O1 O 0.329 0.329 0.464
O2 O 0.671 0.671 0.536
O3 O 0.139 0.463 0.136
O4 O 0.549 0.549 0.184
O5 O 0.537 0.861 0.864
O6 O 0.463 0.139 0.136
O7 O 0.451 0.451 0.816
O8 O 0.861 0.537 0.864
```

***

No. 3
Compound: Dy2MgNi
Source: Alexandria via LeMat-Bulk
Functional: PBE
Structure: optimized geometry

Energy of formation from the pure elements (eV per atom): -0.099
SG: R3m (160)

```
data_Dy2MgNi
_chemical_formula_sum 'Dy2 Mg1 Ni1'
_cell_length_a 3.878
_cell_length_b 3.878
_cell_length_c 8.574
_cell_angle_alpha 76.93
_cell_angle_beta 76.93
_cell_angle_gamma 60.00
_symmetry_space_group_name_H-M 'P 1'
_symmetry_Int_Tables_number 1
_symmetry_space_group_name_Hall 'P 1'
loop_
_atom_site_label
_atom_site_type_symbol
_atom_site_fract_x
_atom_site_fract_y
_atom_site_fract_z
Dy1 Dy 0.060 0.060 0.820
Dy2 Dy 0.273 0.273 0.180
Mg1 Mg 0.501 0.501 0.497
Ni1 Ni 0.666 0.666 0.003
```